CaTl2InF6 | Alexandria via LeMat-Bulk | PBE | relaxed; M_tot = 0.00 μB/cell; space-group type = Fm-3m; energy relative to the elements, uncorrected = -2.48 eV/atom; E_tot = -4.55 eV per atom
1.0
-0.091 -5.397 -3.417
6.222 0.698 -1.267
2.042 -4.734 7.422
Ca Tl In F
2 4 2 12
Direct
0.000 0.750 0.500
0.500 0.250 0.000
0.500 0.750 0.250
0.000 0.250 0.750
0.500 0.750 0.750
0.000 0.250 0.250
0.500 0.250 0.500
0.000 0.750 0.000
0.500 0.249 0.251
0.500 0.249 0.749
0.000 0.751 0.249
0.000 0.751 0.751
0.251 0.001 0.500
0.749 0.001 0.500
0.251 0.499 0.500
0.749 0.499 0.500
0.751 0.501 0.000
0.249 0.501 0.000
0.249 0.999 0.000
0.751 0.999 0.000